## w
Compound: SrCo2Re
Source: Alexandria via LeMat-Bulk
Functional: PBEsol
Structure: relaxed

Computed properties:
**Crystal system**: tetragonal
**SG**: I-4m2, No. 119
**Magnetic moment**: 1.17 Bohr magnetons per cell

abc: 3.7489 3.7489 8.7546
angles: 90.00 90.00 90.00
Atoms (fractional coordinates):
Sr (0.0000, 0.0000, 0.0000)
Sr (0.5000, 0.5000, 0.5000)
Co (0.0000, 0.0000, 0.5000)
Co (0.0000, 0.5000, 0.2500)
Co (0.5000, 0.0000, 0.7500)
Co (0.5000, 0.5000, 0.0000)
Re (0.0000, 0.5000, 0.7500)
Re (0.5000, 0.0000, 0.2500)

## x
Compound: SrCo2Re
Source: Alexandria via LeMat-Bulk
Functional: PBEsol
Structure: relaxed

Computed properties:
**Crystal system**: orthorhombic
**SG**: Pmm2, No. 25
**Magnetic moment**: 2.46 Bohr magnetons per cell

abc: 2.8387 3.0776 7.3668
angles: 90.00 90.00 90.00
Atoms (fractional coordinates):
Sr (0.0000, 0.0000, 0.0000)
Co (0.0000, 0.0000, 0.4687)
Co (0.5000, 0.5000, 0.3225)
Re (0.5000, 0.5000, 0.6586)

We find x to be the most stable, with the next structure 56.4 kJ/mol of atoms higher.

## w
Compound: TlCoRe2
Source: Alexandria via LeMat-Bulk
Functional: PBEsol
Structure: relaxed

Computed properties:
**Crystal system**: orthorhombic
**SG**: Immm, No. 71
**Magnetic moment**: 0.00 Bohr magnetons per cell

abc: 2.7393 4.3580 10.2641
angles: 90.00 90.00 90.00
Atoms (fractional coordinates):
Tl (0.0000, 0.0000, 0.0000)
Tl (0.5000, 0.5000, 0.5000)
Co (0.0000, 0.0000, 0.5000)
Co (0.5000, 0.5000, 0.0000)
Re (0.0000, 0.5000, 0.2085)
Re (0.0000, 0.5000, 0.7915)
Re (0.5000, 0.0000, 0.2915)
Re (0.5000, 0.0000, 0.7085)

## x
Compound: TlCoRe2
Source: Alexandria via LeMat-Bulk
Functional: PBEsol
Structure: relaxed

Computed properties:
**Crystal system**: tetragonal
**SG**: P4/mmm, No. 123
**Magnetic moment**: 0.00 Bohr magnetons per cell

abc: 3.6954 3.6954 4.3972
angles: 90.00 90.00 90.00
Atoms (fractional coordinates):
Tl (0.0000, 0.0000, 0.0000)
Co (0.5000, 0.5000, 0.0000)
Re (0.0000, 0.5000, 0.5000)
Re (0.5000, 0.0000, 0.5000)

We find w to be the most stable, with the next structure 21.6 kJ/mol of atoms higher.